Below is a geometry-optimized CoReGeB2 structure, with properties calculated at the PBE level.

a = 3.9572 Å, b = 3.9572 Å, c = 4.2796 Å
α = 90.00°, β = 90.00°, γ = 90.00°
Space group P4/mmm (No. 123)
Asymmetric unit:
Co 0.0000 0.0000 0.0000 [1 per cell]
Re 0.5000 0.5000 0.0000 [1 per cell]
Ge 0.0000 0.0000 0.5000 [1 per cell]
B 0.0000 0.5000 0.5000 [2 per cell]

Computed properties:
DOS(E_F): 4.491 states/eV per cell
total magnetic moment: 2.4 μB per formula unit
formation energy: 2.03 eV per atom